SrSc2Sb: single point on PBEsol structure, SCAN.

Lattice parameters (Å, degrees): 3.532 5.016 6.305 90.00 101.78 90.00
Fractional positions:
Sr1 0.000 0.000 0.000
Sc1 0.332 0.500 0.709
Sc2 0.668 0.500 0.291
Sb1 0.500 0.000 0.500

Calculated values
Space group: P2/m (10)

SrScSb: single point on PBEsol structure, SCAN.

Lattice parameters (Å, degrees): 7.394 7.394 7.394 90.00 90.00 90.00
Fractional positions:
Sr1 0.000 0.000 0.000
Sr2 0.000 0.500 0.500
Sr3 0.500 0.000 0.500
Sr4 0.500 0.500 0.000
Sc1 0.250 0.250 0.250
Sc2 0.250 0.750 0.750
Sc3 0.750 0.250 0.750
Sc4 0.750 0.750 0.250
Sb1 0.250 0.250 0.750
Sb2 0.250 0.750 0.250
Sb3 0.750 0.250 0.250
Sb4 0.750 0.750 0.750

Calculated values
Space group: F-43m (216)

Table of D(E_F) (states/eV/f.u.), in record order: 4.38; 5.57
Table of uncorrected formation energy (eV per atom), in record order: -0.21; 0.24
Table of VASP energy (eV per atom), in record order: -22.213; -24.353